# ZnGeRh2, optimized geometry, DFT PBE
data_ZnGeRh2
_symmetry_space_group_name_H-M 'P 4/m m m'
_symmetry_Int_Tables_number 123
_symmetry_space_group_name_Hall '-P 4 2'
_cell_length_a 3.039
_cell_length_b 3.039
_cell_length_c 6.089
_cell_angle_alpha 90.00
_cell_angle_beta 90.00
_cell_angle_gamma 90.00
loop_
_atom_site_label
_atom_site_type_symbol
_atom_site_fract_x
_atom_site_fract_y
_atom_site_fract_z
Zn1 Zn 0.000 0.000 0.000
Ge1 Ge 0.000 0.000 0.500
Rh1 Rh 0.500 0.500 0.259
# * uncorrected energy: -5.63 eV/atom
# * ΔE_f: -485 meV per atom
# * total magnetic moment: 0.00 μB per formula unit
# * crystal system: tetragonal

=====

# NiMoI2Cl, optimized geometry, DFT PBE
data_NiMoI2Cl
_symmetry_space_group_name_H-M 'P 4/m m m'
_symmetry_Int_Tables_number 123
_symmetry_space_group_name_Hall '-P 4 2'
_cell_length_a 5.017
_cell_length_b 5.017
_cell_length_c 5.416
_cell_angle_alpha 90.00
_cell_angle_beta 90.00
_cell_angle_gamma 90.00
loop_
_atom_site_label
_atom_site_type_symbol
_atom_site_fract_x
_atom_site_fract_y
_atom_site_fract_z
Ni1 Ni 0.000 0.000 0.000
Mo1 Mo 0.000 0.000 0.500
I1 I 0.000 0.500 0.000
Cl1 Cl 0.500 0.500 0.500
# * uncorrected energy: -3.52 eV/atom
# * raw formation energy: 788 meV per atom
# * total magnetic moment: 4.08 μB per formula unit
# * crystal system: tetragonal